The following is a PBE calculation of a geometry-optimized PaCd2BO6 structure, from the Alexandria database.

The energy relative to the elements, uncorrected comes out at -1.79 eV per atom. As for the crystal system: tetragonal.

The structure belongs to space group P4mm (No. 99); the cell edges are 5.265, 5.265 and 4.644 Å and the angles 90.00°, 90.00° and 90.00°. The inequivalent atoms are Pa at (0.000, 0.000, 0.000), Cd at (0.000, 0.500, 0.412), B at (0.500, 0.500, 0.961), O at (0.000, 0.000, 0.521), O at (0.280, 0.280, 0.071) and O at (0.500, 0.500, 0.654).